LaDyCl6 after structural relaxation, computed with PBE.

POSCAR file:
```
LaDyCl6
1.0
-2.195 -6.219 -2.711
5.058 3.966 -3.088
3.866 -2.568 5.026
La Dy Cl
1 1 6
Cartesian
0.000 0.000 0.000
3.364 -2.410 -0.387
5.998 -2.108 -0.601
3.934 -5.006 -0.494
2.794 0.185 -0.279
0.730 -2.712 -0.172
3.591 -2.474 2.253
3.138 -2.347 -3.027
```

**E_form (uncorrected)**: -2.30 eV/atom
**Calculated volume**: 35.3 Å³/atom